(1)
DFT (GGA-PBE) results for Ba3Al5Br12 after structural relaxation.

Properties
ΔE_f (raw): -1049 meV per atom
DOS at the Fermi energy: 55.05 states/eV per cell
Size of the total moment: 0.00 Bohr magnetons per cell
Mass density: 3.261 g cm⁻³

```
80
Lattice="-9.1525 9.1525 9.1525 9.1525 -9.1525 9.1525 9.1525 9.1525 -9.1525" Properties=species:S:1:pos:R:3 pbc="T T T"
Ba 4.5763 2.2881 0.0000
Ba 9.1525 4.5763 -2.2881
Ba 2.2881 0.0000 4.5763
Ba 11.4406 0.0000 4.5763
Ba 0.0000 4.5763 2.2881
Ba 4.5763 -2.2881 9.1525
Ba 4.5763 11.4406 0.0000
Ba 9.1525 4.5763 6.8644
Ba -2.2881 9.1525 4.5763
Ba 6.8644 9.1525 4.5763
Ba 0.0000 4.5763 11.4406
Ba 4.5763 6.8644 9.1525
Al 0.0000 0.0000 0.0000
Al 4.5763 4.5763 -4.5763
Al 4.5763 -4.5763 4.5763
Al 9.1525 0.0000 0.0000
Al 13.7288 2.2881 0.0000
Al 9.1525 -4.5763 6.8644
Al 6.8644 9.1525 -4.5763
Al 6.8644 0.0000 4.5763
Al 4.5763 6.8644 0.0000
Al 9.1525 4.5763 2.2881
Al -4.5763 4.5763 4.5763
Al 0.0000 9.1525 0.0000
Al 0.0000 0.0000 9.1525
Al 4.5763 4.5763 4.5763
Al 0.0000 4.5763 6.8644
Al 4.5763 2.2881 9.1525
Al 2.2881 9.1525 4.5763
Al 2.2881 0.0000 13.7288
Al 0.0000 13.7288 2.2881
Al -4.5763 6.8644 9.1525
Br 2.8270 -0.4118 1.1847
Br 10.9018 5.7610 -4.9880
Br 11.9795 0.4118 1.1847
Br 10.9018 -3.3915 4.9880
Br 8.7407 -1.1847 2.8270
Br 14.1406 -1.7493 3.3915
Br 1.1847 2.8270 -0.4118
Br 12.5441 4.1645 -1.7493
Br 5.7610 4.9880 -1.7493
Br 7.9678 2.8270 0.4118
Br -0.4118 1.1847 2.8270
Br 4.9880 -1.7493 5.7610
Br 8.7407 7.9678 -2.8270
Br 4.9880 1.7493 3.3915
Br 5.7610 -4.9880 10.9018
Br 7.9678 -2.8270 8.7407
Br 3.3915 4.9880 1.7493
Br 10.3372 6.3255 0.4118
Br 4.9880 10.9018 -3.3915
Br 8.7407 1.1847 6.3255
Br 2.8270 8.7407 -1.1847
Br 10.9018 3.3915 4.1645
Br 1.7493 3.3915 4.9880
Br 2.8270 0.4118 7.9678
Br 6.3255 8.7407 1.1847
Br 7.4032 5.7610 4.1645
Br -1.7493 5.7610 4.9880
Br 6.3255 0.4118 10.3372
Br 0.4118 7.9678 2.8270
Br 4.1645 -1.7493 12.5441
Br -1.1847 2.8270 8.7407
Br 5.7610 4.1645 7.4032
Br 1.1847 11.9795 0.4118
Br 3.3915 14.1406 -1.7493
Br 4.1645 7.4032 5.7610
Br 0.4118 1.1847 11.9795
Br 4.1645 10.9018 3.3915
Br 9.5643 7.9678 6.3255
Br 1.1847 6.3255 8.7407
Br 3.3915 4.1645 10.9018
Br -3.3915 4.9880 10.9018
Br 7.9678 6.3255 9.5643
Br -4.9880 10.9018 5.7610
Br 0.4118 10.3372 6.3255
Br -1.7493 12.5441 4.1645
Br -2.8270 8.7407 7.9678
Br -1.7493 3.3915 14.1406
Br 6.3255 9.5643 7.9678
```



(2)
DFT (GGA-PBE) results for Mg14TlIn after structural relaxation.

Properties
Electronic total energy: -27.732 eV for the cell shown
DOS at the Fermi energy: 9.22 states/eV per cell
Size of the total moment: 0.00 Bohr magnetons per cell
Mass density: 2.962 g cm⁻³

```
16
Lattice="6.5217 0.0000 0.0000 0.0000 6.5217 0.0000 0.0000 0.0000 8.6935" Properties=species:S:1:pos:R:3 pbc="T T T"
Mg 0.0000 0.0000 0.0000
Mg 0.0000 3.2609 0.0000
Mg 0.0000 3.2609 4.3468
Mg 1.6264 1.6264 2.1551
Mg 1.6264 1.6264 6.5384
Mg 1.6264 4.8953 2.1551
Mg 1.6264 4.8953 6.5384
Mg 3.2609 0.0000 0.0000
Mg 3.2609 0.0000 4.3468
Mg 3.2609 3.2609 0.0000
Mg 4.8953 1.6264 2.1551
Mg 4.8953 1.6264 6.5384
Mg 4.8953 4.8953 2.1551
Mg 4.8953 4.8953 6.5384
Tl 3.2609 3.2609 4.3468
In 0.0000 0.0000 4.3468
```